Entry 1:
Below is an optimized crystal structure of La2PaTe5, with properties calculated at the GGA-PBE level.

## Properties
DFT total energy = -5.705 eV/atom
density of states at the Fermi level = 6.31 states/eV/f.u.

CIF file:
```
data_La2PaTe5
_symmetry_space_group_name_H-M 'P 1'
_symmetry_Int_Tables_number 1
_symmetry_space_group_name_Hall 'P 1'
_cell_length_a 13.564
_cell_length_b 9.123
_cell_length_c 8.510
_cell_angle_alpha 90.00
_cell_angle_beta 90.00
_cell_angle_gamma 90.00
loop_
_atom_site_label
_atom_site_fract_x
_atom_site_fract_y
_atom_site_fract_z
La1 0.179 0.002 0.029
La2 0.179 0.498 0.029
La3 0.321 0.502 0.529
La4 0.321 0.998 0.529
La5 0.679 0.002 0.471
La6 0.679 0.498 0.471
La7 0.821 0.502 0.971
La8 0.821 0.998 0.971
Pa1 0.007 0.750 0.575
Pa2 0.493 0.250 0.075
Pa3 0.507 0.750 0.925
Pa4 0.993 0.250 0.425
Te1 0.001 0.750 0.954
Te2 0.095 0.045 0.668
Te3 0.095 0.455 0.668
Te4 0.183 0.750 0.332
Te5 0.214 0.250 0.309
Te6 0.286 0.750 0.809
Te7 0.317 0.250 0.832
Te8 0.405 0.545 0.168
Te9 0.405 0.955 0.168
Te10 0.499 0.250 0.454
Te11 0.501 0.750 0.546
Te12 0.595 0.045 0.832
Te13 0.595 0.455 0.832
Te14 0.683 0.750 0.168
Te15 0.714 0.250 0.191
Te16 0.786 0.750 0.691
Te17 0.817 0.250 0.668
Te18 0.905 0.545 0.332
Te19 0.905 0.955 0.332
Te20 0.999 0.250 0.046
```

Entry 2:
Below is an optimized crystal structure of LaPaTe2, with properties calculated at the GGA-PBE level.

## Properties
DFT total energy = -5.757 eV/atom
density of states at the Fermi level = 6.35 states/eV/f.u.

CIF file:
```
data_LaPaTe2
_symmetry_space_group_name_H-M 'P 1'
_symmetry_Int_Tables_number 1
_symmetry_space_group_name_Hall 'P 1'
_cell_length_a 4.074
_cell_length_b 4.074
_cell_length_c 31.022
_cell_angle_alpha 90.00
_cell_angle_beta 90.00
_cell_angle_gamma 120.00
loop_
_atom_site_label
_atom_site_fract_x
_atom_site_fract_y
_atom_site_fract_z
La1 0.000 0.000 0.000
La2 0.333 0.667 0.667
La3 0.667 0.333 0.333
Pa1 0.000 0.000 0.500
Pa2 0.333 0.667 0.167
Pa3 0.667 0.333 0.833
Te1 0.000 0.000 0.102
Te2 0.000 0.000 0.898
Te3 0.333 0.667 0.565
Te4 0.333 0.667 0.768
Te5 0.667 0.333 0.232
Te6 0.667 0.333 0.435
```

Entry 3:
Below is an optimized crystal structure of La2PaTe5, with properties calculated at the GGA-PBE level.

## Properties
DFT total energy = -5.585 eV/atom
density of states at the Fermi level = 3.65 states/eV/f.u.

CIF file:
```
data_La2PaTe5
_symmetry_space_group_name_H-M 'P 1'
_symmetry_Int_Tables_number 1
_symmetry_space_group_name_Hall 'P 1'
_cell_length_a 8.226
_cell_length_b 8.226
_cell_length_c 15.052
_cell_angle_alpha 90.00
_cell_angle_beta 90.00
_cell_angle_gamma 135.34
loop_
_atom_site_label
_atom_site_fract_x
_atom_site_fract_y
_atom_site_fract_z
La1 0.149 0.851 0.560
La2 0.149 0.851 0.940
La3 0.851 0.149 0.060
La4 0.851 0.149 0.440
Pa1 0.199 0.801 0.250
Pa2 0.801 0.199 0.750
Te1 0.048 0.952 0.123
Te2 0.048 0.952 0.377
Te3 0.265 0.735 0.750
Te4 0.317 0.683 0.079
Te5 0.317 0.683 0.421
Te6 0.683 0.317 0.579
Te7 0.683 0.317 0.921
Te8 0.735 0.265 0.250
Te9 0.952 0.048 0.623
Te10 0.952 0.048 0.877
```

Entry 4:
Below is an optimized crystal structure of LaPaTe4, with properties calculated at the GGA-PBE level.

## Properties
DFT total energy = -5.598 eV/atom
density of states at the Fermi level = 5.09 states/eV/f.u.

CIF file:
```
data_LaPaTe4
_symmetry_space_group_name_H-M 'P 1'
_symmetry_Int_Tables_number 1
_symmetry_space_group_name_Hall 'P 1'
_cell_length_a 7.349
_cell_length_b 6.216
_cell_length_c 8.877
_cell_angle_alpha 90.00
_cell_angle_beta 107.47
_cell_angle_gamma 90.00
loop_
_atom_site_label
_atom_site_fract_x
_atom_site_fract_y
_atom_site_fract_z
La1 0.238 0.250 0.433
La2 0.762 0.750 0.567
Pa1 0.237 0.250 0.935
Pa2 0.763 0.750 0.065
Te1 0.077 0.750 0.383
Te2 0.085 0.750 0.906
Te3 0.496 0.501 0.763
Te4 0.496 0.999 0.763
Te5 0.504 0.001 0.237
Te6 0.504 0.499 0.237
Te7 0.915 0.250 0.094
Te8 0.923 0.250 0.617
```

Entry 5:
Below is an optimized crystal structure of La2PaTl3Te6, with properties calculated at the GGA-PBE level.

## Properties
DFT total energy = -4.723 eV/atom
density of states at the Fermi level = 9.90 states/eV/f.u.

CIF file:
```
data_La2PaTl3Te6
_symmetry_space_group_name_H-M 'P 1'
_symmetry_Int_Tables_number 1
_symmetry_space_group_name_Hall 'P 1'
_cell_length_a 7.922
_cell_length_b 7.922
_cell_length_c 8.642
_cell_angle_alpha 98.79
_cell_angle_beta 98.79
_cell_angle_gamma 119.95
loop_
_atom_site_label
_atom_site_fract_x
_atom_site_fract_y
_atom_site_fract_z
La1 0.166 0.834 0.000
La2 0.834 0.166 0.000
Pa1 0.500 0.500 0.000
Tl1 0.000 0.000 0.500
Tl2 0.331 0.669 0.500
Tl3 0.669 0.331 0.500
Te1 0.105 0.427 0.780
Te2 0.253 0.253 0.223
Te3 0.427 0.105 0.780
Te4 0.573 0.895 0.220
Te5 0.747 0.747 0.777
Te6 0.895 0.573 0.220
```

Entry 6:
Below is an optimized crystal structure of LaThPa4, with properties calculated at the GGA-PBE level.

## Properties
formation energy from the elements = 159 meV per atom
density of states at the Fermi level = 13.84 states/eV/f.u.

CIF file:
```
data_LaThPa4
_symmetry_space_group_name_H-M 'P 1'
_symmetry_Int_Tables_number 1
_symmetry_space_group_name_Hall 'P 1'
_cell_length_a 6.159
_cell_length_b 6.159
_cell_length_c 6.159
_cell_angle_alpha 60.00
_cell_angle_beta 60.00
_cell_angle_gamma 60.00
loop_
_atom_site_label
_atom_site_fract_x
_atom_site_fract_y
_atom_site_fract_z
La1 0.000 0.000 0.000
Th1 0.750 0.750 0.750
Pa1 0.375 0.375 0.375
Pa2 0.375 0.375 0.874
Pa3 0.375 0.874 0.375
Pa4 0.874 0.375 0.375
```

Entry 7:
Below is an optimized crystal structure of LaThPa2, with properties calculated at the GGA-PBE level.

## Properties
formation energy from the elements = 190 meV per atom
density of states at the Fermi level = 7.20 states/eV/f.u.

CIF file:
```
data_LaThPa2
_symmetry_space_group_name_H-M 'P 1'
_symmetry_Int_Tables_number 1
_symmetry_space_group_name_Hall 'P 1'
_cell_length_a 3.390
_cell_length_b 3.390
_cell_length_c 9.849
_cell_angle_alpha 90.00
_cell_angle_beta 90.00
_cell_angle_gamma 90.00
loop_
_atom_site_label
_atom_site_fract_x
_atom_site_fract_y
_atom_site_fract_z
La1 0.000 0.000 0.000
Th1 0.000 0.000 0.500
Pa1 0.500 0.500 0.253
Pa2 0.500 0.500 0.747
```

Entry 8:
Below is an optimized crystal structure of LaThPa2, with properties calculated at the GGA-PBE level.

## Properties
formation energy from the elements = 206 meV per atom
density of states at the Fermi level = 8.28 states/eV/f.u.

CIF file:
```
data_LaThPa2
_symmetry_space_group_name_H-M 'P 1'
_symmetry_Int_Tables_number 1
_symmetry_space_group_name_Hall 'P 1'
_cell_length_a 4.768
_cell_length_b 4.768
_cell_length_c 4.956
_cell_angle_alpha 90.00
_cell_angle_beta 90.00
_cell_angle_gamma 90.00
loop_
_atom_site_label
_atom_site_fract_x
_atom_site_fract_y
_atom_site_fract_z
La1 0.000 0.000 0.000
Th1 0.500 0.500 0.000
Pa1 0.000 0.500 0.500
Pa2 0.500 0.000 0.500
```

Quick rundown of density, same order as above: 7.2 7.0 5.3 7.6 7.0 13.0 12.2 12.3 g cm⁻³